SrUBO5: relaxed, PBE-GGA.

Lattice parameters (Å, degrees): 5.653 5.653 7.725 103.35 103.35 106.21
Last column: magnetic moment on the atom in μB.
Sites, in units of the cell vectors:
Sr 0.652 0.348 0.750  0.00
Sr 0.348 0.652 0.250  0.00
O 0.694 0.126 0.363  -0.02
O 0.306 0.874 0.637  -0.02
O 0.757 0.585 0.383  -0.02
O 0.243 0.415 0.617  -0.02
O 0.126 0.694 0.863  -0.02
O 0.585 0.757 0.883  -0.02
O 0.415 0.243 0.117  -0.02
O 0.874 0.306 0.137  -0.02
O 0.914 0.086 0.750  -0.03
O 0.086 0.914 0.250  -0.03
B 0.686 0.314 0.250  0.00
B 0.314 0.686 0.750  0.00
U 0.000 0.000 0.000  1.07
U 0.000 0.000 0.500  1.07

Summary:
For the uncorrected formation energy, the calculation gives -2.877 eV per atom. The space-group type is C2/c (15). The crystal system is monoclinic.